Compound: AlCu2Sb
Source: Alexandria
Functional: meta-GGA SCAN
Structure: PBEsol geometry

Calculated values
- symmetry = No. 65
- crystal system = orthorhombic
- E_form (uncorrected) (eV per atom) = 0.201

Cell lengths 3.1430, 4.6173, 4.6173 Å; angles 107.34, 90.00, 90.00 degrees
Atoms (fractional coordinates):
Al  0.5000  0.0000  0.0000
Cu  0.0000  0.5000  0.0000
Cu  0.0000  0.0000  0.5000
Sb  0.5000  0.5000  0.5000

Compound: UNi2As2
Source: Alexandria
Functional: meta-GGA SCAN
Structure: PBEsol geometry

Calculated values
- symmetry = No. 129
- crystal system = tetragonal
- formation energy (kJ/mol of atoms) = -46

Cell lengths 4.1272, 4.1272, 9.0303 Å; angles 90.00, 90.00, 90.00 degrees
Site moments in Bohr magnetons follow the coordinates.
Atoms (fractional coordinates):
U  0.5000  0.0000  0.2529  2.20
U  0.0000  0.5000  0.7471  2.20
Ni  0.5000  0.0000  0.8822  0.09
Ni  0.5000  0.5000  0.5000  -0.09
Ni  0.0000  0.0000  0.5000  -0.09
Ni  0.0000  0.5000  0.1178  0.09
As  0.0000  0.5000  0.3690  -0.05
As  0.5000  0.5000  0.0000  -0.02
As  0.5000  0.0000  0.6310  -0.05
As  0.0000  0.0000  0.0000  -0.02

Compound: MgSc2Re
Source: Alexandria
Functional: meta-GGA SCAN
Structure: PBEsol geometry

Calculated values
- symmetry = No. 216
- crystal system = cubic
- formation energy (kJ/mol of atoms) = 17

Cell lengths 4.6857, 4.6857, 4.6857 Å; angles 60.00, 60.00, 60.00 degrees
Atoms (fractional coordinates):
Sc  0.7500  0.7500  0.7500
Sc  0.0000  0.0000  0.0000
Re  0.2500  0.2500  0.2500
Mg  0.5000  0.5000  0.5000

Compound: CaAuS2
Source: Alexandria
Functional: meta-GGA SCAN
Structure: PBEsol geometry

Calculated values
- symmetry = No. 166
- crystal system = trigonal
- E_form (uncorrected) (eV per atom) = -0.943

Cell lengths 4.1324, 4.1324, 7.6998 Å; angles 74.43, 74.43, 60.00 degrees
Atoms (fractional coordinates):
Au  0.0000  0.0000  0.0000
S  0.1011  0.1011  0.6967
S  0.8989  0.8989  0.3033
Ca  0.5000  0.5000  0.5000

Compound: SmSnPt
Source: Alexandria
Functional: meta-GGA SCAN
Structure: PBEsol geometry

Calculated values
- symmetry = No. 62
- crystal system = orthorhombic
- formation energy (kJ/mol of atoms) = -122

Cell lengths 4.5610, 7.2533, 7.9618 Å; angles 90.00, 90.00, 90.00 degrees
Atoms (fractional coordinates):
Pt  0.2500  0.2866  0.4089
Pt  0.7500  0.7134  0.5911
Pt  0.7500  0.2134  0.9089
Pt  0.2500  0.7866  0.0911
Sm  0.7500  0.4885  0.1950
Sm  0.2500  0.0115  0.6950
Sm  0.2500  0.5115  0.8050
Sm  0.7500  0.9885  0.3050
Sn  0.2500  0.6767  0.4165
Sn  0.7500  0.8233  0.9165
Sn  0.7500  0.3233  0.5835
Sn  0.2500  0.1767  0.0835

Compound: LaTcS2
Source: Alexandria
Functional: meta-GGA SCAN
Structure: PBEsol geometry

Calculated values
- symmetry = No. 166
- crystal system = trigonal
- E_form (uncorrected) (eV per atom) = -0.831

Cell lengths 4.2973, 4.2973, 7.7743 Å; angles 73.96, 73.96, 60.00 degrees
Site moments in Bohr magnetons follow the coordinates.
Atoms (fractional coordinates):
La  0.5000  0.5000  0.5000  0.06
Tc  0.0000  0.0000  0.0000  3.49
S  0.8957  0.8957  0.3129  0.02
S  0.1043  0.1043  0.6871  0.02

Compound: FeReTe2
Source: Alexandria
Functional: meta-GGA SCAN
Structure: PBEsol geometry

Calculated values
- symmetry = No. 99
- crystal system = tetragonal
- E_form (uncorrected) (eV per atom) = 0.324
- distance to the lowest polymorph of the same formula (meV per atom) = 0.0

Cell lengths 3.1747, 3.1747, 7.7982 Å; angles 90.00, 90.00, 90.00 degrees
Site moments in Bohr magnetons follow the coordinates.
Atoms (fractional coordinates):
Fe  0.0000  0.0000  0.5188  2.52
Te  0.0000  0.0000  0.9166  0.03
Te  0.5000  0.5000  0.3467  -0.03
Re  0.5000  0.5000  0.7180  0.23

Compound: TaCu2Hg
Source: Alexandria
Functional: meta-GGA SCAN
Structure: PBEsol geometry

Calculated values
- symmetry = No. 44
- crystal system = orthorhombic
- formation energy (kJ/mol of atoms) = 32

Cell lengths 2.7886, 4.6170, 5.4112 Å; angles 115.25, 104.93, 90.00 degrees
Atoms (fractional coordinates):
Ta  0.2628  0.7628  0.5256
Cu  0.0183  0.0183  0.0365
Cu  0.7348  0.2348  0.4697
Hg  0.4841  0.4841  0.9681

no.,calculated volume (Å³ per cell)
1,64
2,154
3,73
4,108
5,263
6,118
7,79
8,60